Record 1
Material: AcPrHoGa
Method: DFT, PBE
State: optimized geometry

Cell: 5.553 5.553 5.553 Å, 60.00 60.00 60.00°
Positions (direct):
Pr 0.500 0.500 0.500
Ac 0.750 0.750 0.750
Ga 0.250 0.250 0.250
Ho 0.000 0.000 0.000

VASP energy = -4.092 eV per atom
Volume = 121 Å³/f.u.
Magnetic moment = 0.0 μB/cell

=====

Record 2
Material: Ac2HoGa4Pt3
Method: DFT, PBE
State: optimized geometry

Cell: 4.364 4.364 11.733 Å, 90.00 90.00 90.00°
Positions (direct):
Ac 0.500 0.000 0.229
Ac 0.000 0.500 0.771
Pt 0.000 0.000 0.500
Pt 0.500 0.000 0.878
Pt 0.000 0.500 0.122
Ga 0.500 0.500 0.000
Ga 0.000 0.000 0.000
Ga 0.500 0.000 0.661
Ga 0.000 0.500 0.339
Ho 0.500 0.500 0.500

VASP energy = -5.178 eV per atom
Volume = 223 Å³/f.u.
Magnetic moment = 0.0 μB/cell

=====

Record 3
Material: AcHoGa2Pt2
Method: DFT, PBE
State: optimized geometry

Cell: 4.532 4.532 7.458 Å, 90.00 90.00 120.00°
Positions (direct):
Ac 0.000 0.000 0.000
Ho 0.000 0.000 0.500
Ga 0.333 0.667 0.705
Ga 0.667 0.333 0.295
Pt 0.667 0.333 0.710
Pt 0.333 0.667 0.290

VASP energy = -5.516 eV per atom
Volume = 133 Å³/f.u.
Magnetic moment = 0.0 μB/cell

=====

Record 4
Material: AcHoGa2Rh2
Method: DFT, PBE
State: optimized geometry

Cell: 4.466 4.466 7.531 Å, 90.00 90.00 120.00°
Positions (direct):
Ac 0.000 0.000 0.000
Rh 0.333 0.667 0.699
Rh 0.667 0.333 0.301
Ga 0.333 0.667 0.293
Ga 0.667 0.333 0.707
Ho 0.000 0.000 0.500

VASP energy = -5.706 eV per atom
Volume = 130 Å³/f.u.
Magnetic moment = 0.0 μB/cell

=====

Record 5
Material: AcHoGaRh
Method: DFT, PBE
State: optimized geometry

Cell: 5.187 5.187 5.187 Å, 60.00 60.00 60.00°
Positions (direct):
Rh 0.750 0.750 0.750
Ho 0.000 0.000 0.000
Ac 0.500 0.500 0.500
Ga 0.250 0.250 0.250

VASP energy = -5.255 eV per atom
Volume = 99 Å³/f.u.
Magnetic moment = 0.0 μB/cell

=====

Record 6
Material: AcHoGaRu
Method: DFT, PBE
State: optimized geometry

Cell: 5.157 5.157 5.157 Å, 60.00 60.00 60.00°
Positions (direct):
Ho 0.000 0.000 0.000
Ga 0.250 0.250 0.250
Ru 0.750 0.750 0.750
Ac 0.500 0.500 0.500

VASP energy = -5.484 eV per atom
Volume = 97 Å³/f.u.
Magnetic moment = 0.0 μB/cell

=====

Record 7
Material: AcHoScGa
Method: DFT, PBE
State: optimized geometry

Cell: 5.341 5.341 5.341 Å, 60.00 60.00 60.00°
Positions (direct):
Ac 0.750 0.750 0.750
Sc 0.500 0.500 0.500
Ho 0.000 0.000 0.000
Ga 0.250 0.250 0.250

VASP energy = -4.441 eV per atom
Volume = 108 Å³/f.u.
Magnetic moment = 0.2 μB/cell

=====

Record 8
Material: AcHoGaSi
Method: DFT, PBE
State: optimized geometry

Cell: 5.254 5.254 5.254 Å, 60.00 60.00 60.00°
Positions (direct):
Si 0.500 0.500 0.500
Ga 0.000 0.000 0.000
Ac 0.750 0.750 0.750
Ho 0.250 0.250 0.250

Volume = 103 Å³/f.u.
Magnetic moment = 0.0 μB/cell
ΔE_f (raw) = -0.40 eV per atom

=====

Record 9
Material: AcSmHoGa
Method: DFT, PBE
State: optimized geometry

Cell: 5.508 5.508 5.508 Å, 60.00 60.00 60.00°
Positions (direct):
Ac 0.750 0.750 0.750
Ga 0.250 0.250 0.250
Ho 0.000 0.000 0.000
Sm 0.500 0.500 0.500

VASP energy = -4.066 eV per atom
Volume = 118 Å³/f.u.
Magnetic moment = 0.0 μB/cell

=====

Record 10
Material: AcHoGaSn
Method: DFT, PBE
State: optimized geometry

Cell: 5.455 5.455 5.455 Å, 60.00 60.00 60.00°
Positions (direct):
Ac 0.500 0.500 0.500
Ho 0.000 0.000 0.000
Sn 0.250 0.250 0.250
Ga 0.750 0.750 0.750

VASP energy = -4.416 eV per atom
Volume = 115 Å³/f.u.
Magnetic moment = 0.0 μB/cell

=====

Record 11
Material: AcTbHoGa
Method: DFT, PBE
State: optimized geometry

Cell: 5.476 5.476 5.476 Å, 60.00 60.00 60.00°
Positions (direct):
Ac 0.000 0.000 0.000
Tb 0.750 0.750 0.750
Ga 0.500 0.500 0.500
Ho 0.250 0.250 0.250

VASP energy = -4.029 eV per atom
Volume = 116 Å³/f.u.
Magnetic moment = 0.0 μB/cell

=====

Record 12
Material: AcHoZnGa
Method: DFT, PBE
State: optimized geometry

Cell: 5.313 5.313 5.313 Å, 60.00 60.00 60.00°
Positions (direct):
Ho 0.000 0.000 0.000
Ac 0.500 0.500 0.500
Zn 0.750 0.750 0.750
Ga 0.250 0.250 0.250

VASP energy = -3.608 eV per atom
Volume = 106 Å³/f.u.
Magnetic moment = 0.0 μB/cell

=====

Record 13
Material: Ac3GaI3
Method: DFT, PBE
State: optimized geometry

Cell: 11.519 11.519 11.519 Å, 109.47 109.47 109.47°
Positions (direct):
I 0.242 0.250 0.758
I 0.016 0.508 0.758
I 0.750 0.992 0.508
I 0.258 0.742 0.250
I 0.242 0.992 0.984
I 0.750 0.758 0.742
I 0.008 0.250 0.992
I 0.258 0.516 0.508
I 0.008 0.758 0.516
I 0.492 0.508 0.250
I 0.484 0.742 0.992
I 0.492 0.984 0.742
Ga 0.750 0.250 0.250
Ga 0.750 0.500 0.000
Ga 0.500 0.250 0.500
Ga 0.000 0.000 0.250
Ac 0.972 0.486 0.236
Ac 0.986 0.236 0.472
Ac 0.986 0.750 0.014
Ac 0.514 0.486 0.750
Ac 0.250 0.014 0.486
Ac 0.736 0.472 0.486
Ac 0.528 0.264 0.014
Ac 0.736 0.264 0.750
Ac 0.764 0.014 0.028
Ac 0.250 0.236 0.264
Ac 0.764 0.750 0.236
Ac 0.514 0.028 0.264

Volume = 294 Å³/f.u.
Magnetic moment = 0.0 μB/cell
ΔE_f (raw) = -1.10 eV per atom

=====

Record 14
Material: AcGa2I8
Method: DFT, PBE
State: optimized geometry

Cell: 7.500 9.159 9.159 Å, 76.85 80.67 80.67°
Positions (direct):
Ga 0.319 0.209 0.209
Ga 0.681 0.791 0.791
I 0.147 0.385 0.385
I 0.772 0.079 0.708
I 0.689 0.200 0.200
I 0.853 0.615 0.615
I 0.311 0.800 0.800
I 0.228 0.292 0.921
I 0.228 0.921 0.292
I 0.772 0.708 0.079
Ac 0.000 0.000 0.000

Volume = 599 Å³/f.u.
Magnetic moment = 0.0 μB/cell
ΔE_f (raw) = -0.78 eV per atom

=====

Record 15
Material: Ac4Ga2I3
Method: DFT, PBE
State: optimized geometry

Cell: 4.622 4.622 20.351 Å, 90.05 89.95 120.00°
Positions (direct):
I 0.666 0.334 0.398
I 0.000 0.000 0.000
I 0.334 0.666 0.602
Ga 0.667 0.333 0.798
Ga 0.333 0.667 0.202
Ac 0.001 0.999 0.706
Ac 0.666 0.334 0.117
Ac 0.999 0.001 0.294
Ac 0.334 0.666 0.883

Volume = 377 Å³/f.u.
Magnetic moment = 0.0 μB/cell
ΔE_f (raw) = -0.89 eV per atom

=====

Record 16
Material: Ac7GaI12
Method: DFT, PBE
State: optimized geometry

Cell: 11.151 10.512 10.512 Å, 108.21 110.71 110.71°
Positions (direct):
I 0.310 0.387 0.538
I 0.157 0.675 0.759
I 0.077 0.849 0.387
I 0.398 0.241 0.916
I 0.923 0.151 0.613
I 0.482 0.084 0.325
I 0.690 0.613 0.462
I 0.518 0.916 0.675
I 0.602 0.759 0.084
I 0.843 0.325 0.241
I 0.772 0.462 0.849
I 0.228 0.538 0.151
Ac 0.673 0.716 0.789
Ac 0.957 0.073 0.284
Ac 0.043 0.927 0.716
Ac 0.116 0.789 0.073
Ac 0.327 0.284 0.211
Ac 0.500 0.000 0.000
Ac 0.884 0.211 0.927
Ga 0.000 0.000 0.000

Volume = 934 Å³/f.u.
Magnetic moment = 0.0 μB/cell
ΔE_f (raw) = -1.31 eV per atom

=====

Record 17
Material: Ac2GaI8
Method: DFT, PBE
State: optimized geometry

Cell: 8.188 9.608 9.608 Å, 61.09 70.53 70.53°
Positions (direct):
Ac 0.566 0.868 0.868
Ac 0.434 0.132 0.132
I 0.256 0.819 0.228
I 0.256 0.228 0.819
I 0.744 0.772 0.181
I 0.235 0.808 0.808
I 0.829 0.676 0.676
I 0.744 0.181 0.772
I 0.765 0.192 0.192
I 0.171 0.324 0.324
Ga 0.000 0.000 0.000

Volume = 610 Å³/f.u.
Magnetic moment = 0.0 μB/cell
ΔE_f (raw) = -1.07 eV per atom

=====

Record 18
Material: Ac3GaI3
Method: DFT, PBE
State: optimized geometry

Cell: 6.630 6.630 6.630 Å, 90.00 90.00 90.00°
Positions (direct):
Ac 0.000 0.500 0.500
Ac 0.500 0.500 0.000
Ac 0.500 0.000 0.500
I 0.000 0.000 0.500
I 0.000 0.500 0.000
I 0.500 0.000 0.000
Ga 0.500 0.500 0.500

Volume = 291 Å³/f.u.
Magnetic moment = 0.0 μB/cell
ΔE_f (raw) = -1.02 eV per atom

=====

Record 19
Material: Ac2GaI
Method: DFT, PBE
State: optimized geometry

Cell: 3.873 3.873 8.844 Å, 90.00 90.00 90.00°
Positions (direct):
Ac 0.000 0.000 0.776
Ac 0.000 0.000 0.224
Ga 0.500 0.500 0.000
I 0.500 0.500 0.500

Volume = 133 Å³/f.u.
Magnetic moment = 0.0 μB/cell
ΔE_f (raw) = -0.69 eV per atom

=====

Record 20
Material: Ac3Ga2I2
Method: DFT, PBE
State: optimized geometry

Cell: 4.332 6.364 10.276 Å, 105.92 89.97 109.92°
Positions (direct):
Ga 0.310 0.620 0.054
Ga 0.690 0.380 0.946
Ac 0.202 0.404 0.724
Ac 0.798 0.596 0.276
Ac 0.000 0.000 0.000
I 0.901 0.800 0.640
I 0.099 0.200 0.360

Volume = 255 Å³/f.u.
Magnetic moment = 0.0 μB/cell
ΔE_f (raw) = -0.83 eV per atom